{
  "formula": "TbDy3Co2",
  "functional": "PBE-GGA",
  "state": "optimized geometry",
  "mass_density_g_cm3": 8.62,
  "total_magnetization_mub_per_fu": 0.0,
  "ef_mev_per_atom": -152,
  "crystal_system": "monoclinic",
  "e_above_lowest_polymorph_mev_per_atom": 0,
  "lattice": [[8.205, -1.872, 0.000], [8.205, 1.872, 0.000], [-6.530, 0.000, 9.583]],
  "species": ["Tb", "Tb", "Dy", "Dy", "Dy", "Dy", "Dy", "Dy", "Co", "Co", "Co", "Co"],
  "frac_coords": [[0.159, 0.159, 0.247], [0.841, 0.841, 0.753], [0.159, 0.159, 0.748], [0.416, 0.416, 0.060], [0.416, 0.416, 0.558], [0.584, 0.584, 0.442], [0.584, 0.584, 0.940], [0.841, 0.841, 0.252], [0.233, 0.233, 0.048], [0.234, 0.234, 0.549], [0.766, 0.766, 0.451], [0.767, 0.767, 0.952]]
}